(1)
Compound: LaTlRu2
Source: Alexandria
Functional: PBE
Structure: relaxed

Values from the calculation:
Its energy above the most stable polymorph in this dataset is 0.024 eV per atom. The space group is No. 99.

Geometry as POSCAR:
```
LaTlRu2
1.0
3.127 0.131 0.000
-0.130 3.127 0.000
0.000 0.000 8.373
La Ru Tl
1 2 1
Direct
0.500 0.500 0.783 La
0.000 0.000 0.048 Ru
0.500 0.500 0.213 Ru
0.000 0.000 0.456 Tl
```

***

(2)
Compound: La2TlRu
Source: Alexandria
Functional: PBE
Structure: relaxed

Values from the calculation:
Its energy above the most stable polymorph in this dataset is 0.000 eV per atom. The space group is No. 12.

Geometry as POSCAR:
```
La2TlRu
1.0
5.546 0.000 0.000
0.000 6.636 -0.393
0.000 -1.711 13.131
La Tl Ru
8 4 4
Direct
0.750 0.091 0.905 La
0.250 0.909 0.095 La
0.750 0.409 0.595 La
0.250 0.591 0.405 La
0.750 0.473 0.189 La
0.250 0.527 0.811 La
0.750 0.027 0.311 La
0.250 0.973 0.689 La
0.250 0.118 0.460 Tl
0.750 0.882 0.540 Tl
0.250 0.382 0.040 Tl
0.750 0.618 0.960 Tl
0.250 0.469 0.626 Ru
0.750 0.531 0.374 Ru
0.250 0.031 0.874 Ru
0.750 0.969 0.126 Ru
```

***

(3)
Compound: La4TlRu
Source: Alexandria
Functional: PBE
Structure: relaxed

Values from the calculation:
Its energy above the most stable polymorph in this dataset is 0.000 eV per atom. The space group is No. 15.

Geometry as POSCAR:
```
La4TlRu
1.0
6.186 -0.042 -1.405
-2.545 7.453 -3.138
0.034 -0.580 8.458
La Tl Ru
8 2 2
Direct
0.853 0.661 0.802 La
0.069 0.931 0.292 La
0.647 0.198 0.339 La
0.431 0.708 0.069 La
0.569 0.292 0.931 La
0.353 0.802 0.661 La
0.931 0.069 0.708 La
0.147 0.339 0.198 La
0.750 0.621 0.379 Tl
0.250 0.379 0.621 Tl
0.250 0.998 0.002 Ru
0.750 0.002 0.998 Ru
```

***

(4)
Compound: LaTl2Ru
Source: Alexandria
Functional: PBE
Structure: relaxed

Values from the calculation:
The value obtained for the raw total energy is -19.09 eV per cell. The space group is No. 8.

Geometry as POSCAR:
```
LaTl2Ru
1.0
-2.955 2.911 3.833
-5.358 0.443 1.729
-2.226 -2.350 5.301
La Ru Tl
1 1 2
Direct
0.558 0.558 0.416 La
0.260 0.260 0.384 Ru
0.948 0.948 0.970 Tl
0.734 0.734 0.731 Tl
```

***

(5)
Compound: LaTl2Ru
Source: Alexandria
Functional: PBE
Structure: relaxed

Values from the calculation:
The value obtained for the raw total energy is -18.92 eV per cell. The space group is No. 12.

Geometry as POSCAR:
```
LaTl2Ru
1.0
6.439 0.023 0.001
5.530 3.299 0.001
2.083 0.578 4.696
La Ru Tl
1 1 2
Direct
0.750 0.750 0.750 La
0.250 0.250 0.250 Ru
0.958 0.958 0.042 Tl
0.542 0.542 0.458 Tl
```

***

(6)
Compound: LaTlRu2
Source: Alexandria
Functional: PBE
Structure: relaxed

Values from the calculation:
Its energy above the most stable polymorph in this dataset is 0.393 eV per atom. The space group is No. 160.

Geometry as POSCAR:
```
LaTlRu2
1.0
10.116 0.019 0.011
9.645 3.051 0.011
9.645 1.498 2.658
La Ru Tl
1 2 1
Direct
0.743 0.743 0.743 La
0.988 0.988 0.988 Ru
0.258 0.258 0.258 Ru
0.511 0.511 0.511 Tl
```

***

(7)
Compound: LaTlRu2
Source: Alexandria
Functional: PBE
Structure: relaxed

Values from the calculation:
Its energy above the most stable polymorph in this dataset is 0.197 eV per atom. The space group is No. 10.

Geometry as POSCAR:
```
LaTlRu2
1.0
4.538 0.000 0.000
0.000 3.144 -0.010
0.000 0.009 5.870
La Ru Tl
1 2 1
Direct
0.500 0.750 0.750 La
0.000 0.022 0.950 Ru
0.000 0.478 0.550 Ru
0.500 0.250 0.250 Tl
```

***

(8)
Compound: LaTlRu2
Source: Alexandria
Functional: PBE
Structure: relaxed

Values from the calculation:
Its energy above the most stable polymorph in this dataset is 0.136 eV per atom. The space group is No. 119.

Geometry as POSCAR:
```
LaTlRu2
1.0
-4.470 1.730 -3.225
-3.197 -3.822 -2.923
2.104 0.772 5.325
La Ru Tl
1 2 1
Direct
0.750 0.250 0.500 La
0.000 0.000 0.000 Ru
0.250 0.750 0.500 Ru
0.500 0.500 0.000 Tl
```

***

(9)
Compound: LaTl4Ru
Source: Alexandria
Functional: PBE
Structure: relaxed

Values from the calculation:
The value obtained for the raw total energy is -20.86 eV per cell. The space group is No. 216.

Geometry as POSCAR:
```
LaTl4Ru
1.0
1.911 -4.592 3.578
-0.640 0.384 6.081
-4.085 -3.543 2.880
La Tl Ru
1 4 1
Direct
0.750 0.750 0.750 La
0.877 0.374 0.374 Tl
0.374 0.374 0.877 Tl
0.374 0.877 0.374 Tl
0.374 0.374 0.374 Tl
0.000 0.000 0.000 Ru
```

***

(10)
Compound: LaTl2Ru
Source: Alexandria
Functional: PBE
Structure: relaxed

Values from the calculation:
The value obtained for the raw total energy is -18.64 eV per cell. The space group is No. 44.

Geometry as POSCAR:
```
LaTl2Ru
1.0
5.943 0.007 0.012
2.161 5.536 -0.012
-3.402 -3.721 3.145
La Ru Tl
1 1 2
Direct
0.444 0.444 0.000 La
0.264 0.764 0.500 Ru
0.046 0.046 0.000 Tl
0.746 0.246 0.500 Tl
```

***

(11)
Compound: La2YTlRu
Source: Alexandria
Functional: PBE
Structure: relaxed

Values from the calculation:
The value obtained for the raw total energy is -29.24 eV per cell. The space group is No. 123.

Geometry as POSCAR:
```
La2YTlRu
1.0
5.408 0.000 0.000
0.000 5.408 0.000
0.000 0.000 5.487
Y Ru Tl La
1 1 1 2
Direct
0.000 0.000 0.500 Y
0.000 0.000 0.000 Ru
0.500 0.500 0.500 Tl
0.000 0.500 0.000 La
0.500 0.000 0.000 La
```

***

(12)
Compound: La2TlZnRu
Source: Alexandria
Functional: PBE
Structure: relaxed

Values from the calculation:
The value obtained for the raw total energy is -23.98 eV per cell. The space group is No. 123.

Geometry as POSCAR:
```
La2TlZnRu
1.0
5.358 0.000 0.000
0.000 5.358 0.000
0.000 0.000 5.011
Ru Tl Zn La
1 1 1 2
Direct
0.000 0.000 0.000 Ru
0.500 0.500 0.500 Tl
0.000 0.000 0.500 Zn
0.000 0.500 0.000 La
0.500 0.000 0.000 La
```

***

(13)
Compound: LaTm3Ru2
Source: Alexandria
Functional: PBE
Structure: relaxed

Values from the calculation:
The value obtained for the raw total energy is -38.97 eV per cell. The space group is No. 123.

Geometry as POSCAR:
```
LaTm3Ru2
1.0
3.394 0.000 0.000
0.000 3.394 0.000
0.000 0.000 12.506
La Tm Ru
1 3 2
Direct
0.500 0.500 0.500 La
0.000 0.000 0.000 Tm
0.000 0.000 0.738 Tm
0.000 0.000 0.262 Tm
0.500 0.500 0.861 Ru
0.500 0.500 0.139 Ru
```

***

(14)
Compound: LaTmRu2
Source: Alexandria
Functional: PBE
Structure: relaxed

Values from the calculation:
The value obtained for the raw total energy is -28.88 eV per cell. The space group is No. 123.

Geometry as POSCAR:
```
LaTmRu2
1.0
-1.611 -2.236 2.073
-0.058 -2.322 -2.549
6.091 -2.448 2.093
Ru Tm La
2 1 1
Direct
0.000 0.000 0.757 Ru
0.000 0.000 0.243 Ru
0.500 0.500 0.000 Tm
0.500 0.500 0.500 La
```

***

(15)
Compound: La2TmRu
Source: Alexandria
Functional: PBE
Structure: relaxed

Values from the calculation:
Its energy above the most stable polymorph in this dataset is 0.034 eV per atom. The space group is No. 63.

Geometry as POSCAR:
```
La2TmRu
1.0
4.080 -0.001 0.000
-2.040 6.054 0.000
0.000 0.000 9.396
La Tm Ru
4 2 2
Direct
0.361 0.722 0.570 La
0.639 0.278 0.430 La
0.361 0.722 0.930 La
0.639 0.278 0.070 La
0.915 0.831 0.250 Tm
0.085 0.169 0.750 Tm
0.741 0.481 0.750 Ru
0.259 0.519 0.250 Ru
```

***

(16)
Compound: La2TmRu
Source: Alexandria
Functional: PBE
Structure: relaxed

Values from the calculation:
Its energy above the most stable polymorph in this dataset is 0.415 eV per atom. The space group is No. 166.

Geometry as POSCAR:
```
La2TmRu
1.0
-0.402 -3.608 1.087
2.474 -2.619 -1.173
6.633 -0.215 8.346
Ru Tm La
1 1 2
Direct
0.500 0.500 0.500 Ru
0.000 0.000 0.000 Tm
0.111 0.111 0.668 La
0.889 0.889 0.332 La
```

***

(17)
Compound: LaTm5Ru4
Source: Alexandria
Functional: PBE
Structure: relaxed

Values from the calculation:
The value obtained for the raw total energy is -68.02 eV per cell. The space group is No. 123.

Geometry as POSCAR:
```
LaTm5Ru4
1.0
3.371 0.000 0.000
0.000 3.371 0.000
0.000 0.000 19.303
La Tm Ru
1 5 4
Direct
0.000 0.000 0.000 La
0.500 0.500 0.156 Tm
0.500 0.500 0.327 Tm
0.500 0.500 0.500 Tm
0.500 0.500 0.673 Tm
0.500 0.500 0.844 Tm
0.000 0.000 0.235 Ru
0.000 0.000 0.413 Ru
0.000 0.000 0.587 Ru
0.000 0.000 0.765 Ru
```

***

(18)
Compound: LaTm3Ru4
Source: Alexandria
Functional: PBE
Structure: relaxed

Values from the calculation:
The value obtained for the raw total energy is -58.14 eV per cell. The space group is No. 166.

Geometry as POSCAR:
```
LaTm3Ru4
1.0
-0.251 -3.197 3.560
-0.727 -4.632 -0.986
7.480 -3.737 0.397
Ru Tm La
4 3 1
Direct
0.874 0.874 0.378 Ru
0.376 0.376 0.873 Ru
0.126 0.126 0.622 Ru
0.624 0.624 0.127 Ru
0.246 0.246 0.261 Tm
0.754 0.754 0.739 Tm
0.500 0.500 0.500 Tm
0.000 0.000 0.000 La
```

***

(19)
Compound: La2Tm3Ru2
Source: Alexandria
Functional: PBE
Structure: relaxed

Values from the calculation:
The value obtained for the raw total energy is -44.19 eV per cell. The space group is No. 12.

Geometry as POSCAR:
```
La2Tm3Ru2
1.0
3.720 0.000 1.045
1.388 5.818 2.202
-0.389 -0.232 8.524
La Tm Ru
2 3 2
Direct
0.165 0.465 0.205 La
0.835 0.535 0.795 La
0.500 0.000 0.000 Tm
0.377 0.826 0.421 Tm
0.623 0.174 0.579 Tm
0.179 0.877 0.765 Ru
0.821 0.123 0.235 Ru
```

***

(20)
Compound: La2TmRu
Source: Alexandria
Functional: PBE
Structure: relaxed

Values from the calculation:
Its energy above the most stable polymorph in this dataset is 0.000 eV per atom. The space group is No. 62.

Geometry as POSCAR:
```
La2TmRu
1.0
6.336 0.000 0.000
0.000 7.370 0.000
0.000 0.000 9.877
La Tm Ru
8 4 4
Direct
0.171 0.675 0.067 La
0.329 0.175 0.433 La
0.829 0.325 0.567 La
0.671 0.825 0.933 La
0.829 0.325 0.933 La
0.671 0.825 0.567 La
0.171 0.675 0.433 La
0.329 0.175 0.067 La
0.653 0.545 0.250 Tm
0.847 0.045 0.250 Tm
0.347 0.455 0.750 Tm
0.153 0.955 0.750 Tm
0.052 0.384 0.250 Ru
0.448 0.884 0.250 Ru
0.948 0.616 0.750 Ru
0.552 0.116 0.750 Ru
```

***

(21)
Compound: LaTmRu4
Source: Alexandria
Functional: PBE
Structure: relaxed

Values from the calculation:
The value obtained for the raw total energy is -47.72 eV per cell. The space group is No. 216.

Geometry as POSCAR:
```
LaTmRu4
1.0
5.385 0.000 0.000
2.692 4.663 0.000
2.692 1.554 4.397
Ru Tm La
4 1 1
Direct
0.625 0.625 0.124 Ru
0.625 0.124 0.625 Ru
0.625 0.625 0.625 Ru
0.124 0.625 0.625 Ru
0.000 0.000 0.000 Tm
0.250 0.250 0.250 La
```

***

(22)
Compound: La2TmU2Ru5
Source: Alexandria
Functional: PBE
Structure: relaxed

Values from the calculation:
The value obtained for the raw total energy is -171.32 eV per cell. The space group is No. 127.

Geometry as POSCAR:
```
La2TmU2Ru5
1.0
-1.259 0.182 3.265
-2.819 -10.568 -0.498
9.821 -2.806 3.945
La Tm U Ru
4 2 4 10
Direct
0.000 0.675 0.175 La
0.000 0.325 0.825 La
0.000 0.175 0.325 La
0.000 0.825 0.675 La
0.000 0.000 0.000 Tm
0.000 0.500 0.500 Tm
0.000 0.139 0.639 U
0.000 0.861 0.361 U
0.000 0.639 0.861 U
0.000 0.361 0.139 U
0.500 0.215 0.050 Ru
0.500 0.785 0.950 Ru
0.500 0.050 0.785 Ru
0.500 0.715 0.450 Ru
0.500 0.950 0.215 Ru
0.500 0.285 0.550 Ru
0.500 0.550 0.715 Ru
0.500 0.450 0.285 Ru
0.500 0.500 0.000 Ru
0.500 0.000 0.500 Ru
```

***

(23)
Compound: La2URu2
Source: Alexandria
Functional: PBE
Structure: relaxed

Values from the calculation:
The value obtained for the raw total energy is -82.35 eV per cell. The space group is No. 15.

Geometry as POSCAR:
```
La2URu2
1.0
-2.924 -2.958 -4.322
-1.671 -5.644 1.155
-7.267 1.707 2.500
La U Ru
4 2 4
Direct
0.473 0.227 0.151 La
0.773 0.527 0.349 La
0.527 0.773 0.849 La
0.227 0.473 0.651 La
0.136 0.864 0.250 U
0.864 0.136 0.750 U
0.755 0.006 0.515 Ru
0.994 0.245 0.985 Ru
0.245 0.994 0.485 Ru
0.006 0.755 0.015 Ru
```

***

(24)
Compound: La2URu4
Source: Alexandria
Functional: PBE
Structure: relaxed

Values from the calculation:
The value obtained for the raw total energy is -57.61 eV per cell. The space group is No. 139.

Geometry as POSCAR:
```
La2URu4
1.0
4.178 0.000 -1.332
-0.425 4.157 -1.332
0.312 0.346 8.199
La U Ru
2 1 4
Direct
0.722 0.722 0.445 La
0.278 0.278 0.555 La
0.000 0.000 0.000 U
0.406 0.906 0.812 Ru
0.906 0.406 0.812 Ru
0.594 0.094 0.188 Ru
0.094 0.594 0.188 Ru
```

***

(25)
Compound: LaURu2
Source: Alexandria
Functional: PBE
Structure: relaxed

Values from the calculation:
The value obtained for the raw total energy is -70.31 eV per cell. The space group is No. 63.

Geometry as POSCAR:
```
LaURu2
1.0
-1.608 -0.078 -3.918
-1.750 -5.232 0.823
-5.718 5.239 2.242
La U Ru
2 2 4
Direct
0.250 0.782 0.565 La
0.750 0.218 0.435 La
0.750 0.590 0.181 U
0.250 0.410 0.819 U
0.250 0.327 0.158 Ru
0.750 0.673 0.842 Ru
0.750 0.168 0.842 Ru
0.250 0.832 0.158 Ru
```